Computed, not measured: a relaxed structure of BaHfAs2H at the GGA-PBE level of DFT.

Calculated values
Magnetic moment   0.00 μB per formula unit
ΔE to the lowest computed polymorph   0.062 eV per atom

Cell lengths 5.252, 5.252, 4.319 Å; angles 90.00, 90.00, 90.00 degrees
Space group P4/mmm (No. 123)
Asymmetric unit:
Ba: 0.000 0.000 0.000
Hf: 0.500 0.500 0.500
As: 0.000 0.500 0.500
H: 0.500 0.500 0.000